Entry 1:
# La2ReSb PBE relaxed
data_La2ReSb
_cell_length_a 8.554
_cell_length_b 8.554
_cell_length_c 6.761
_cell_angle_alpha 50.76
_cell_angle_beta 50.76
_cell_angle_gamma 90.00
_symmetry_space_group_name_H-M 'P 1'
_symmetry_Int_Tables_number 1
_symmetry_space_group_name_Hall 'P 1'
loop_
_atom_site_label
_atom_site_type_symbol
_atom_site_fract_x
_atom_site_fract_y
_atom_site_fract_z
Re1 Re 0.000 0.000 0.000
Re2 Re 0.750 0.250 0.500
Sb1 Sb 0.500 0.500 0.000
Sb2 Sb 0.250 0.750 0.500
La1 La 0.693 0.125 0.250
La2 La 0.057 0.625 0.250
La3 La 0.875 0.943 0.750
La4 La 0.375 0.307 0.750
# * space-group type: I-42d
# * magnetic moment: 0.0 μB per cell
# * N(E_F): 1.0 states/eV per cell
# * E_form (uncorrected): 0.044 eV per atom

=====

Entry 2:
# LaReSb4 PBE relaxed
data_LaReSb4
_cell_length_a 6.161
_cell_length_b 6.161
_cell_length_c 6.161
_cell_angle_alpha 60.00
_cell_angle_beta 60.00
_cell_angle_gamma 60.00
_symmetry_space_group_name_H-M 'P 1'
_symmetry_Int_Tables_number 1
_symmetry_space_group_name_Hall 'P 1'
loop_
_atom_site_label
_atom_site_type_symbol
_atom_site_fract_x
_atom_site_fract_y
_atom_site_fract_z
Re1 Re 0.000 0.000 0.000
Sb1 Sb 0.374 0.374 0.374
Sb2 Sb 0.374 0.878 0.374
Sb3 Sb 0.878 0.374 0.374
Sb4 Sb 0.374 0.374 0.878
La1 La 0.750 0.750 0.750
# * space-group type: F-43m
# * magnetic moment: 3.3 μB per cell
# * N(E_F): 5.6 states/eV per cell
# * E_form (uncorrected): 0.632 eV per atom

=====

Entry 3:
# La2ReSb PBE relaxed
data_La2ReSb
_cell_length_a 9.966
_cell_length_b 9.966
_cell_length_c 9.966
_cell_angle_alpha 20.94
_cell_angle_beta 20.94
_cell_angle_gamma 20.94
_symmetry_space_group_name_H-M 'P 1'
_symmetry_Int_Tables_number 1
_symmetry_space_group_name_Hall 'P 1'
loop_
_atom_site_label
_atom_site_type_symbol
_atom_site_fract_x
_atom_site_fract_y
_atom_site_fract_z
Re1 Re 0.250 0.250 0.250
La1 La 0.990 0.990 0.990
La2 La 0.510 0.510 0.510
Sb1 Sb 0.750 0.750 0.750
# * space-group type: R-3m
# * magnetic moment: 0.0 μB per cell
# * N(E_F): 3.9 states/eV per cell
# * E_form (uncorrected): 0.142 eV per atom

=====

Entry 4:
# La2ReSb2 PBE relaxed
data_La2ReSb2
_cell_length_a 7.173
_cell_length_b 7.173
_cell_length_c 5.079
_cell_angle_alpha 90.00
_cell_angle_beta 90.00
_cell_angle_gamma 90.00
_symmetry_space_group_name_H-M 'P 1'
_symmetry_Int_Tables_number 1
_symmetry_space_group_name_Hall 'P 1'
loop_
_atom_site_label
_atom_site_type_symbol
_atom_site_fract_x
_atom_site_fract_y
_atom_site_fract_z
Sb1 Sb 0.645 0.145 0.000
Sb2 Sb 0.145 0.355 0.000
Sb3 Sb 0.855 0.645 0.000
Sb4 Sb 0.355 0.855 0.000
La1 La 0.326 0.174 0.500
La2 La 0.174 0.674 0.500
La3 La 0.826 0.326 0.500
La4 La 0.674 0.826 0.500
Re1 Re 0.500 0.500 0.000
Re2 Re 0.000 0.000 0.000
# * space-group type: P4/mbm
# * magnetic moment: 0.0 μB per cell
# * E above lowest polymorph: 0 meV/atom
# * N(E_F): 13.7 states/eV per cell
# * E_form (uncorrected): -0.419 eV per atom

=====

Entry 5:
# LaRe4Sb PBE relaxed
data_LaRe4Sb
_cell_length_a 5.455
_cell_length_b 5.455
_cell_length_c 5.455
_cell_angle_alpha 60.00
_cell_angle_beta 60.00
_cell_angle_gamma 60.00
_symmetry_space_group_name_H-M 'P 1'
_symmetry_Int_Tables_number 1
_symmetry_space_group_name_Hall 'P 1'
loop_
_atom_site_label
_atom_site_type_symbol
_atom_site_fract_x
_atom_site_fract_y
_atom_site_fract_z
La1 La 0.000 0.000 0.000
Re1 Re 0.872 0.376 0.376
Re2 Re 0.376 0.872 0.376
Re3 Re 0.376 0.376 0.376
Re4 Re 0.376 0.376 0.872
Sb1 Sb 0.750 0.750 0.750
# * space-group type: F-43m
# * magnetic moment: 0.0 μB per cell
# * N(E_F): 7.3 states/eV per cell
# * E_form (uncorrected): 0.394 eV per atom

=====

Entry 6:
# LaRe3Sb PBE relaxed
data_LaRe3Sb
_cell_length_a 4.880
_cell_length_b 4.880
_cell_length_c 4.880
_cell_angle_alpha 90.00
_cell_angle_beta 90.00
_cell_angle_gamma 90.00
_symmetry_space_group_name_H-M 'P 1'
_symmetry_Int_Tables_number 1
_symmetry_space_group_name_Hall 'P 1'
loop_
_atom_site_label
_atom_site_type_symbol
_atom_site_fract_x
_atom_site_fract_y
_atom_site_fract_z
Sb1 Sb 0.500 0.500 0.500
La1 La 0.000 0.000 0.000
Re1 Re 0.000 0.500 0.000
Re2 Re 0.500 0.000 0.000
Re3 Re 0.000 0.000 0.500
# * space-group type: Pm-3m
# * magnetic moment: 0.0 μB per cell
# * E above lowest polymorph: 1146 meV/atom
# * N(E_F): 8.3 states/eV per cell
# * E_form (uncorrected): 2.876 eV per atom

=====

> Which value of E_form (uncorrected) does entry 6 give?

2.876 eV per atom